No. 1
Here is a geometry-optimized Ac6TeP2Se3 structure from the Alexandria database. Energies are from PBE.

## Properties
ΔE_f (raw) ... -1.721 eV per atom
E ... -5.809 eV/atom
Calculated density ... 7.64 g/cm3
Space-group type ... C2/m, No. 12
Volume ... 32.4 A^3/atom

POSCAR file:
```
Ac6TeP2Se3
1.0
9.809 -2.242 0.000
9.809 2.242 0.000
-2.030 0.000 8.844
Ac Te P Se
6 1 2 3
direct
0.008 0.008 0.268
0.326 0.326 0.896
0.329 0.329 0.426
0.671 0.671 0.574
0.674 0.674 0.104
0.992 0.992 0.732
0.500 0.500 0.000
0.168 0.168 0.334
0.832 0.832 0.666
0.162 0.162 0.834
0.500 0.500 0.500
0.838 0.838 0.166
```



No. 2
Here is a geometry-optimized Ac6Te2PSe3 structure from the Alexandria database. Energies are from PBE.

## Properties
ΔE_f (raw) ... -1.696 eV per atom
E ... -5.596 eV/atom
Calculated density ... 7.80 g/cm3
Space-group type ... C2/m, No. 12
Volume ... 33.4 A^3/atom

POSCAR file:
```
Ac6Te2PSe3
1.0
9.910 -2.256 0.000
9.910 2.256 0.000
-2.023 0.000 8.974
Ac Te P Se
6 2 1 3
direct
0.004 0.004 0.268
0.341 0.341 0.902
0.342 0.342 0.433
0.658 0.658 0.567
0.659 0.659 0.098
0.996 0.996 0.732
0.168 0.168 0.837
0.832 0.832 0.163
0.500 0.500 0.500
0.171 0.171 0.338
0.500 0.500 0.000
0.829 0.829 0.662
```



No. 3
Here is a geometry-optimized Ac4TeP2Se structure from the Alexandria database. Energies are from PBE.

## Properties
ΔE_f (raw) ... -1.607 eV per atom
E ... -5.841 eV/atom
Calculated density ... 7.43 g/cm3
Space-group type ... I-4m2, No. 119
Volume ... 32.9 A^3/atom

POSCAR file:
```
Ac4TeP2Se
1.0
-3.205 3.205 6.399
3.205 -3.205 6.399
3.205 3.205 -6.399
Ac Te P Se
4 1 2 1
direct
0.010 0.510 0.500
0.236 0.236 0.000
0.490 0.990 0.500
0.764 0.764 0.000
0.500 0.500 0.000
0.000 0.000 0.000
0.250 0.750 0.500
0.750 0.250 0.500
```



No. 4
Here is a geometry-optimized Ac8TeP3Se4 structure from the Alexandria database. Energies are from PBE.

## Properties
ΔE_f (raw) ... -1.719 eV per atom
E ... -5.855 eV/atom
Calculated density ... 7.59 g/cm3
Space-group type ... R-3m, No. 166
Volume ... 32.2 A^3/atom

POSCAR file:
```
Ac8TeP3Se4
1.0
4.499 2.598 7.342
-4.499 2.598 7.342
0.000 -5.195 7.342
Ac Te P Se
8 1 3 4
direct
0.230 0.756 0.756
0.244 0.244 0.244
0.244 0.244 0.770
0.244 0.770 0.244
0.756 0.230 0.756
0.756 0.756 0.230
0.756 0.756 0.756
0.770 0.244 0.244
0.500 0.500 0.500
0.000 0.000 0.500
0.000 0.500 0.000
0.500 0.000 0.000
0.000 0.000 0.000
0.000 0.500 0.500
0.500 0.000 0.500
0.500 0.500 0.000
```



No. 5
Here is a geometry-optimized Ac4Te2PSe structure from the Alexandria database. Energies are from PBE.

## Properties
ΔE_f (raw) ... -1.637 eV per atom
E ... -5.588 eV/atom
Calculated density ... 7.69 g/cm3
Space-group type ... P2/m, No. 10
Volume ... 34.4 A^3/atom

POSCAR file:
```
Ac4Te2PSe
1.0
7.879 0.000 0.000
0.000 4.535 0.000
-2.609 0.000 7.693
Ac Te P Se
4 2 1 1
direct
0.230 0.000 0.217
0.250 0.500 0.779
0.750 0.500 0.221
0.770 0.000 0.783
0.000 0.000 0.500
0.500 0.500 0.500
0.000 0.500 0.000
0.500 0.000 0.000
```



No. 6
Here is a geometry-optimized Ac2ThP2Se2 structure from the Alexandria database. Energies are from PBE.

## Properties
ΔE_f (raw) ... -1.414 eV per atom
E ... -6.189 eV/atom
Calculated density ... 6.53 g/cm3
Space-group type ... I4/mmm, No. 139
Volume ... 32.9 A^3/atom

POSCAR file:
```
Ac2ThP2Se2
1.0
-2.714 2.714 7.815
2.714 -2.714 7.815
2.714 2.714 -7.815
Ac Th P Se
2 1 2 2
direct
0.123 0.123 0.000
0.877 0.877 0.000
0.500 0.500 0.000
0.000 0.500 0.500
0.500 0.000 0.500
0.314 0.314 0.000
0.686 0.686 0.000
```



No. 7
Here is a geometry-optimized Ac6TlP2Se3 structure from the Alexandria database. Energies are from PBE.

## Properties
ΔE_f (raw) ... -1.487 eV per atom
E ... -5.511 eV/atom
Calculated density ... 7.83 g/cm3
Space-group type ... C2/m, No. 12
Volume ... 32.9 A^3/atom

POSCAR file:
```
Ac6TlP2Se3
1.0
9.893 -2.241 0.000
9.893 2.241 0.000
-2.087 0.000 8.915
Ac Tl P Se
6 1 2 3
direct
0.005 0.005 0.261
0.329 0.329 0.427
0.330 0.330 0.902
0.670 0.670 0.098
0.671 0.671 0.573
0.995 0.995 0.739
0.500 0.500 0.000
0.169 0.169 0.337
0.831 0.831 0.663
0.166 0.166 0.831
0.500 0.500 0.500
0.834 0.834 0.169
```



No. 8
Here is a geometry-optimized Ac4Tl2PSe structure from the Alexandria database. Energies are from PBE.

## Properties
ΔE_f (raw) ... -0.965 eV per atom
E ... -4.722 eV/atom
Calculated density ... 8.36 g/cm3
Space-group type ... P2/m, No. 10
Volume ... 35.4 A^3/atom

POSCAR file:
```
Ac4Tl2PSe
1.0
7.647 0.000 0.000
0.000 4.389 0.000
-2.515 0.000 8.444
Ac Tl P Se
4 2 1 1
direct
0.230 0.000 0.215
0.250 0.500 0.778
0.750 0.500 0.222
0.770 0.000 0.785
0.000 0.000 0.500
0.500 0.500 0.500
0.000 0.500 0.000
0.500 0.000 0.000
```